# 1
Compound: CsRe2PdCl
Source: Alexandria
Functional: GGA-PBE
Structure: optimized geometry

Values from the calculation:
* space group: P4/mmm, No. 123
* DOS(E_F): 4.6 states/eV/cell
* E_form (uncorrected): 16.2 eV per formula unit

POSCAR file:
```
CsRe2PdCl
1.0
5.4134 0.0000 0.0000
0.0000 5.4134 0.0000
0.0000 0.0000 5.7416
Cs Re Pd Cl
1 2 1 1
Cartesian
0.0000 0.0000 0.0000
0.0000 2.7067 0.0000
2.7067 0.0000 0.0000
2.7067 2.7067 2.8708
0.0000 0.0000 2.8708
```


# 2
Compound: CsPdRuCl6
Source: Alexandria
Functional: GGA-PBE
Structure: optimized geometry

Values from the calculation:
* space group: P312, No. 149
* DOS(E_F): 6.9 states/eV/cell
* E_form (uncorrected): -7.1 eV per formula unit

POSCAR file:
```
CsPdRuCl6
1.0
6.4393 0.0000 0.0000
-3.2196 5.5766 0.0000
0.0000 0.0000 7.8415
Cs Pd Ru Cl
1 1 1 6
Cartesian
0.0000 0.0000 0.0000
3.2197 1.8589 3.9208
0.0000 3.7177 3.9208
-1.0733 2.0695 5.2506
-1.9641 3.6123 2.5910
1.0733 2.0695 2.5910
-0.8908 5.4714 5.2506
1.9641 3.6123 5.2506
0.8908 5.4714 2.5910
```


# 3
Compound: CsPdSCl2
Source: Alexandria
Functional: GGA-PBE
Structure: optimized geometry

Values from the calculation:
* space group: P4/mmm, No. 123
* DOS(E_F): 17.3 states/eV/cell
* E_form (uncorrected): 3.3 eV per formula unit

POSCAR file:
```
CsPdSCl2
1.0
6.2697 0.0000 0.0000
0.0000 6.2697 0.0000
0.0000 0.0000 5.6492
Cs Pd S Cl
1 1 1 2
Cartesian
0.0000 0.0000 0.0000
3.1348 3.1348 2.8246
0.0000 0.0000 2.8246
0.0000 3.1348 0.0000
3.1348 0.0000 0.0000
```


# 4
Compound: CsPdS2Cl
Source: Alexandria
Functional: GGA-PBE
Structure: optimized geometry

Values from the calculation:
* space group: P4/mmm, No. 123
* DOS(E_F): 11.4 states/eV/cell
* E_form (uncorrected): 5.7 eV per formula unit

POSCAR file:
```
CsPdS2Cl
1.0
5.5298 0.0000 0.0000
0.0000 5.5298 0.0000
0.0000 0.0000 6.2602
Cs Pd S Cl
1 1 2 1
Cartesian
0.0000 0.0000 0.0000
2.7649 2.7649 3.1301
0.0000 2.7649 0.0000
2.7649 0.0000 0.0000
0.0000 0.0000 3.1301
```


# 5
Compound: CsPdS2Cl
Source: Alexandria
Functional: GGA-PBE
Structure: optimized geometry

Values from the calculation:
* space group: P4/mmm, No. 123
* DOS(E_F): 3.5 states/eV/cell
* E_form (uncorrected): -1.9 eV per formula unit

POSCAR file:
```
CsPdS2Cl
1.0
4.8019 0.0000 0.0000
0.0000 4.8019 0.0000
0.0000 0.0000 5.5531
Cs Pd S Cl
1 1 2 1
Cartesian
0.0000 0.0000 0.0000
2.4010 2.4010 2.7765
0.0000 2.4010 2.7765
2.4010 0.0000 2.7765
2.4010 2.4010 0.0000
```


# 6
Compound: CsPdSCl2
Source: Alexandria
Functional: GGA-PBE
Structure: optimized geometry

Values from the calculation:
* space group: P4/mmm, No. 123
* DOS(E_F): 2.7 states/eV/cell
* E_form (uncorrected): -3.7 eV per formula unit

POSCAR file:
```
CsPdSCl2
1.0
5.2649 0.0000 0.0000
0.0000 5.2649 0.0000
0.0000 0.0000 4.6853
Cs Pd S Cl
1 1 1 2
Cartesian
0.0000 0.0000 0.0000
2.6324 2.6324 2.3426
2.6324 2.6324 0.0000
0.0000 2.6324 2.3426
2.6324 0.0000 2.3426
```


# 7
Compound: CsSbPdCl6
Source: Alexandria
Functional: GGA-PBE
Structure: optimized geometry

Values from the calculation:
* space group: P312, No. 149
* E_form (uncorrected): -8.5 eV per formula unit

POSCAR file:
```
CsSbPdCl6
1.0
6.8502 0.0000 0.0000
-3.4251 5.9325 0.0000
0.0000 0.0000 7.8072
Cs Sb Pd Cl
1 1 1 6
Cartesian
0.0000 0.0000 0.0000
0.0000 3.9550 3.9036
3.4251 1.9775 3.9036
2.5528 0.0888 2.4187
1.3533 2.1664 5.3885
4.2974 0.0888 5.3885
2.2256 3.6773 2.4187
5.4969 2.1664 2.4187
4.6247 3.6773 5.3885
```


# 8
Compound: Cs2SbPdCl6
Source: Alexandria
Functional: GGA-PBE
Structure: optimized geometry

Values from the calculation:
* space group: I4/mmm, No. 139
* DOS(E_F): 3.0 states/eV/cell
* E_form (uncorrected): -12.0 eV per formula unit

POSCAR file:
```
Cs2SbPdCl6
1.0
-3.7383 3.7383 5.2964
3.7383 -3.7383 5.2964
3.7383 3.7383 -5.2964
Cs Sb Pd Cl
2 1 1 6
Cartesian
3.7383 0.0000 2.6482
0.0000 3.7383 2.6482
0.0000 0.0000 0.0000
0.0000 0.0000 5.2964
0.0000 0.0000 2.6722
1.8936 1.8936 0.0000
1.8447 -1.8447 5.2964
-1.8447 1.8447 5.2964
1.8447 1.8447 5.2964
0.0000 0.0000 7.9205
```


What total magnetization values result from the calculations? In sequence: 1.478 0.116 0.409 0.410 0.352 0.206 0.219 0.000 μB per atom.